# 1
VASP calculation (PBE) on a relaxed MnTlAg2 crystal.

The space group is I4/mmm (No. 139) and the conventional cell measures 4.2386, 4.2386 and 8.4818 Å, with angles of 90.00, 90.00 and 90.00 degrees. The inequivalent atoms are Mn at (0.0000, 0.0000, 0.0000), Tl at (0.0000, 0.0000, 0.5000) and Ag at (0.0000, 0.5000, 0.2500).

The total magnetization comes out at 1.03 μB/atom. Its formation energy is 0.279 eV per atom. The uncorrected energy is -32.2 eV for the cell shown. As for the offset from the most stable computed form: 34 meV/atom.

# 2
VASP calculation (PBE) on a relaxed In7Re crystal.

The space group is Fm-3m (No. 225) and the conventional cell measures 9.0035, 9.0035 and 9.0035 Å, with angles of 90.00, 90.00 and 90.00 degrees. The inequivalent atoms are In at (0.0000, 0.0000, 0.0000), In at (0.0000, 0.2500, 0.2500) and Re at (0.0000, 0.0000, 0.5000).

The total magnetization comes out at 0.04 μB/atom. Its formation energy is 0.442 eV per atom. The uncorrected energy is -112.3 eV for the cell shown.

# 3
VASP calculation (PBE) on a relaxed La2IrS2 crystal.

The space group is I4/mmm (No. 139) and the conventional cell measures 5.6580, 5.6580 and 7.8997 Å, with angles of 90.00, 90.00 and 90.00 degrees. The inequivalent atoms are La at (0.0000, 0.5000, 0.2500), Ir at (0.0000, 0.0000, 0.0000) and S at (0.0000, 0.0000, 0.2946).

The total magnetization comes out at 0.00 μB/atom. The uncorrected energy is -67.4 eV for the cell shown. As for the offset from the most stable computed form: 0 meV/atom.

# 4
VASP calculation (PBE) on a relaxed KMgCr crystal.

The space group is F-43m (No. 216) and the conventional cell measures 7.8889, 7.8889 and 7.8889 Å, with angles of 90.00, 90.00 and 90.00 degrees. The inequivalent atoms are K at (0.0000, 0.0000, 0.0000), Mg at (0.2500, 0.2500, 0.2500) and Cr at (0.2500, 0.2500, 0.7500).

The total magnetization comes out at 1.74 μB/atom. Its formation energy is 1.248 eV per atom. The uncorrected energy is -34.3 eV for the cell shown. As for the offset from the most stable computed form: 534 meV/atom.

# 5
VASP calculation (PBE) on a relaxed SrRu2Rh crystal.

The space group is R3m (No. 160, hexagonal axes) and the conventional cell measures 2.8873, 2.8873 and 28.6081 Å, with angles of 90.00, 90.00 and 120.00 degrees. The inequivalent atoms are Sr at (0.0000, 0.0000, 0.0000), Ru at (0.0000, 0.0000, 0.2366), Ru at (0.0000, 0.0000, 0.5000) and Rh at (0.0000, 0.0000, 0.7581).

The total magnetization comes out at 0.08 μB/atom. Its formation energy is 0.708 eV per atom. The uncorrected energy is -74.3 eV for the cell shown. As for the offset from the most stable computed form: 333 meV/atom.

# 6
VASP calculation (PBE) on a relaxed Na5Si2Sb5 crystal.

The space group is C2/m (No. 12) and the conventional cell measures 15.5845, 3.7761 and 12.5119 Å, with angles of 90.00, 108.19 and 90.00 degrees. The inequivalent atoms are Na at (0.0000, 0.0000, 0.0000), Na at (0.1737, 0.0000, 0.5667), Na at (0.2196, 0.5000, 0.1302), Si at (0.0324, 0.5000, 0.2976), Sb at (0.0000, 0.5000, 0.5000), Sb at (0.1132, 0.5000, 0.8708) and Sb at (0.1438, 0.0000, 0.2944).

The total magnetization comes out at 0.00 μB/atom. The uncorrected energy is -79.5 eV for the cell shown.

# 7
VASP calculation (PBE) on a relaxed RbGaPb crystal.

The space group is Cmcm (No. 63) and the conventional cell measures 4.7878, 17.8230 and 5.0714 Å, with angles of 90.00, 90.00 and 90.00 degrees. The inequivalent atoms are Rb at (0.0000, 0.0906, 0.2500), Ga at (0.0000, 0.2527, 0.7500) and Pb at (0.0000, 0.3449, 0.2500).

The total magnetization comes out at 0.00 μB/atom. Its formation energy is -0.100 eV per atom. The uncorrected energy is -32.0 eV for the cell shown.

# 8
VASP calculation (PBE) on a relaxed KMnIn2Sn crystal.

The space group is P4/mmm (No. 123) and the conventional cell measures 5.1518, 5.1518 and 4.9935 Å, with angles of 90.00, 90.00 and 90.00 degrees. The inequivalent atoms are K at (0.0000, 0.0000, 0.0000), Mn at (0.5000, 0.5000, 0.5000), In at (0.0000, 0.5000, 0.5000) and Sn at (0.5000, 0.5000, 0.0000).

The total magnetization comes out at 0.00 μB/atom. Its formation energy is 0.004 eV per atom. The uncorrected energy is -19.7 eV for the cell shown.

# 9
VASP calculation (PBE) on a relaxed KLaTeN2 crystal.

The space group is P4/mmm (No. 123) and the conventional cell measures 4.7754, 4.7754 and 6.1598 Å, with angles of 90.00, 90.00 and 90.00 degrees. The inequivalent atoms are K at (0.0000, 0.0000, 0.0000), La at (0.5000, 0.5000, 0.5000), Te at (0.0000, 0.0000, 0.5000) and N at (0.0000, 0.5000, 0.0000).

The total magnetization comes out at 0.80 μB/atom. The uncorrected energy is -20.0 eV for the cell shown. As for the offset from the most stable computed form: 846 meV/atom.

# 10
VASP calculation (PBE) on a relaxed Er5TcTe2 crystal.

The space group is Cmcm (No. 63) and the conventional cell measures 5.5470, 15.8067 and 13.5505 Å, with angles of 90.00, 90.00 and 90.00 degrees. The inequivalent atoms are Er at (0.0000, 0.0500, 0.1086), Er at (0.0000, 0.2724, 0.1048), Er at (0.0000, 0.3190, 0.7500), Tc at (0.0000, 0.1563, 0.2500) and Te at (0.0000, 0.1564, 0.5893).

The total magnetization comes out at 0.00 μB/atom. The uncorrected energy is -167.0 eV for the cell shown.

# 11
VASP calculation (PBE) on a relaxed BaZrTcAs2 crystal.

The space group is P4/mmm (No. 123) and the conventional cell measures 5.3309, 5.3309 and 4.9736 Å, with angles of 90.00, 90.00 and 90.00 degrees. The inequivalent atoms are Ba at (0.0000, 0.0000, 0.0000), Zr at (0.5000, 0.5000, 0.5000), Tc at (0.5000, 0.5000, 0.0000) and As at (0.0000, 0.5000, 0.5000).

The total magnetization comes out at 0.53 μB/atom. Its formation energy is 0.127 eV per atom. The uncorrected energy is -29.5 eV for the cell shown.

# 12
VASP calculation (PBE) on a relaxed Tb3Dy2Sc8 crystal.

The space group is C2/m (No. 12) and the conventional cell measures 13.6576, 8.6813 and 6.6462 Å, with angles of 90.00, 109.06 and 90.00 degrees. The inequivalent atoms are Tb at (0.0000, 0.0000, 0.0000), Tb at (0.0000, 0.1826, 0.5000), Dy at (0.2338, 0.0000, 0.4248), Sc at (0.0685, 0.5000, 0.7459), Sc at (0.1208, 0.3167, 0.1580) and Sc at (0.1951, 0.0000, 0.8972).

The total magnetization comes out at 0.00 μB/atom. Its formation energy is 0.253 eV per atom. The uncorrected energy is -140.9 eV for the cell shown.